(1)
DFT (PBE-GGA) results for an optimized crystal structure of Tb3Pr7Sc.

The structure in POSCAR format:
```
Tb3Pr7Sc
1.0
6.423 -5.741 0.000
6.423 5.741 0.000
-2.702 0.000 5.238
Tb Pr Sc
3 7 1
Cartesian
0.000 0.000 0.000 Tb
5.072 3.411 2.619 Tb
5.072 -3.411 2.619 Tb
1.800 3.296 4.247 Pr
0.829 0.000 3.737 Pr
8.343 3.296 0.991 Pr
5.072 0.000 2.619 Pr
1.800 -3.296 4.247 Pr
9.314 0.000 1.500 Pr
8.343 -3.296 0.991 Pr
6.423 0.000 0.000 Sc
```

Output
calculated total energy: -4.66 eV/atom
energy of formation: 0.220 eV/atom
crystal system: monoclinic
space group: C2/m (12)
total moment: 0.000 μB/atom



(2)
DFT (PBE-GGA) results for an optimized crystal structure of Sr2HgRh.

The structure in POSCAR format:
```
Sr2HgRh
1.0
-1.918 2.561 5.850
1.918 -2.561 5.850
1.918 2.561 -5.850
Sr Hg Rh
2 1 1
Cartesian
0.000 0.000 0.000 Sr
0.000 2.561 2.402 Sr
1.918 0.000 3.539 Hg
0.000 0.000 5.587 Rh
```

Output
calculated total energy: -2.98 eV/atom
energy of formation: -0.230 eV/atom
crystal system: orthorhombic
space group: Imm2 (44)
total moment: 0.000 μB/atom



(3)
DFT (PBE-GGA) results for an optimized crystal structure of KMo3P.

The structure in POSCAR format:
```
KMo3P
1.0
4.643 0.000 0.000
0.000 4.643 0.000
0.000 0.000 4.643
K Mo P
1 3 1
Cartesian
0.000 0.000 0.000 K
0.000 2.321 2.321 Mo
2.321 0.000 2.321 Mo
2.321 2.321 0.000 Mo
2.321 2.321 2.321 P
```

Output
calculated total energy: -6.67 eV/atom
energy of formation: 1.126 eV/atom
crystal system: cubic
space group: Pm-3m (221)
total moment: 0.000 μB/atom